Entry 1:
Re2W | PBE-GGA | relaxed

Cell: 9.621 9.621 5.020 Å, 90.00 90.00 90.00°
Space group P4_2/mnm (No. 136)
Symmetry-distinct sites (fractional):
1 Re 0.068 0.261 0.000 (multiplicity 8)
2 Re 0.099 0.099 0.500 (multiplicity 4)
3 Re 0.183 0.817 0.250 (multiplicity 8)
4 W 0.000 0.000 0.000 (multiplicity 2)
5 W 0.036 0.366 0.500 (multiplicity 8)

Computed properties:
The calculation puts the formation energy at 7.5 kJ/mol of atoms. As for the polymorph energy (0 for the lowest one): 0.0 meV/atom. The calculated density comes out at 19.9 g/cm³.

***

Entry 2:
Re9W4 | PBE-GGA | relaxed

Cell: 5.0893 5.0893 27.2425 Å, 90.00 90.00 120.00°
Space group R-3m (No. 166, hexagonal axes)
Symmetry-distinct sites (fractional):
1 Re 0.0000 0.0000 0.0000 (multiplicity 3)
2 Re 0.0000 0.0000 0.4545 (multiplicity 6)
3 Re 0.0045 0.5023 0.4119 (multiplicity 18)
4 W 0.0000 0.0000 0.1659 (multiplicity 6)
5 W 0.0000 0.0000 0.3480 (multiplicity 6)

Computed properties:
The calculation puts the formation energy at 11.6 kJ/mol of atoms. As for the polymorph energy (0 for the lowest one): 0.0 meV/atom. The calculated density comes out at 19.7 g/cm³.

***

Entry 3:
Re4W9 | PBE-GGA | relaxed

Cell: 5.1406 5.1406 27.7855 Å, 90.00 90.00 120.00°
Space group R-3m (No. 166, hexagonal axes)
Symmetry-distinct sites (fractional):
1 Re 0.0000 0.0000 0.0439 (multiplicity 6)
2 Re 0.0000 0.0000 0.1545 (multiplicity 6)
3 W 0.0000 0.0000 0.3323 (multiplicity 6)
4 W 0.0000 0.0000 0.5000 (multiplicity 3)
5 W 0.0020 0.5010 0.9120 (multiplicity 18)

Computed properties:
The calculation puts the formation energy at 34.7 kJ/mol of atoms. As for the polymorph energy (0 for the lowest one): 21.2 meV/atom. The calculated density comes out at 18.8 g/cm³.

***

Entry 4:
Re2W | PBE-GGA | relaxed

Cell: 7.241 7.241 7.241 Å, 90.00 90.00 90.00°
Space group Fd-3m (No. 227, origin choice 2)
Symmetry-distinct sites (fractional):
1 Re 0.000 0.000 0.000 (multiplicity 16)
2 W 0.125 0.125 0.625 (multiplicity 8)

Computed properties:
The calculation puts the formation energy at 21.7 kJ/mol of atoms. As for the polymorph energy (0 for the lowest one): 147.1 meV/atom. The calculated density comes out at 19.5 g/cm³.